# 1
Below is CaSiMo2 after structural relaxation, with properties calculated at the PBE level.

abc: 5.291 5.291 5.291
angles: 142.26 127.28 66.64
Fractional coordinates of all 4 atoms:
Ca1 0.758 0.258 0.500
Mo1 0.025 0.025 0.000
Mo2 0.237 0.737 0.500
Si1 0.480 0.480 0.000

Summary:
- energy relative to the elements, uncorrected (meV per atom) = 395

=====

# 2
Below is Ag2Cl3O after structural relaxation, with properties calculated at the PBE level.

abc: 6.952 7.938 6.542
angles: 84.23 68.17 82.80
Each line ends with the local moment (μB).
Fractional coordinates of all 12 atoms:
Ag1 0.764 0.588 0.390  0.00
Ag2 0.236 0.412 0.610  0.00
Ag3 0.956 0.187 0.171  0.00
Ag4 0.044 0.813 0.829  0.00
Cl1 0.876 0.562 0.792  0.00
Cl2 0.860 0.884 0.237  0.00
Cl3 0.614 0.295 0.466  0.00
Cl4 0.124 0.438 0.208  0.00
Cl5 0.386 0.705 0.534  0.00
Cl6 0.140 0.116 0.763  0.00
O1 0.453 0.046 0.078  0.80
O2 0.547 0.954 0.922  0.80

Summary:
- energy relative to the elements, uncorrected (meV per atom) = -317

=====

# 3
Below is PrMg2SnPb after structural relaxation, with properties calculated at the PBE level.

abc: 4.514 8.458 7.920
angles: 90.00 90.00 105.48
Fractional coordinates of all 10 atoms:
Pr1 0.406 0.811 0.750
Pr2 0.594 0.189 0.250
Mg1 0.175 0.351 0.939
Mg2 0.825 0.649 0.061
Mg3 0.175 0.351 0.561
Mg4 0.825 0.649 0.439
Sn1 0.737 0.475 0.750
Sn2 0.263 0.525 0.250
Pb1 0.000 0.000 0.000
Pb2 0.000 0.000 0.500

Summary:
- formation energy from the elements (eV per formula unit) = -1.2

=====

# 4
Below is CrRe2As after structural relaxation, with properties calculated at the PBE level.

abc: 2.997 2.997 6.266
angles: 90.00 90.00 90.00
Each line ends with the local moment (μB).
Fractional coordinates of all 4 atoms:
As1 0.500 0.500 0.250  0.00
Cr1 0.500 0.500 0.750  0.13
Re1 0.000 0.000 0.993  -0.02
Re2 0.000 0.000 0.507  -0.02

Summary:
- formation energy from the elements (eV per formula unit) = 0.8

=====

# 5
Below is CeGeF after structural relaxation, with properties calculated at the PBE level.

abc: 4.437 4.040 4.040
angles: 120.00 90.00 90.00
Fractional coordinates of all 3 atoms:
Ge1 0.667 0.667 0.333
Ce1 0.167 0.000 0.000
F1 0.166 0.333 0.667

Summary:
- energy relative to the elements, uncorrected (meV per atom) = -1757

=====

# 6
Below is NaSrSn after structural relaxation, with properties calculated at the PBE level.

abc: 5.520 5.520 5.520
angles: 60.00 60.00 60.00
Each line ends with the local moment (μB).
Fractional coordinates of all 3 atoms:
Sr1 0.000 0.000 0.000  0.07
Sn1 0.250 0.250 0.250  0.35
Na1 0.500 0.500 0.500  0.00

Summary:
- formation energy from the elements (eV per formula unit) = -0.8

=====

# 7
Below is Ac6La5Dy after structural relaxation, with properties calculated at the PBE level.

abc: 5.488 10.755 10.177
angles: 121.90 105.66 90.01
Fractional coordinates of all 12 atoms:
Ac1 0.834 0.586 0.668
Ac2 0.834 0.082 0.668
Ac3 0.500 0.752 0.000
Ac4 0.500 0.248 0.000
Ac5 0.166 0.918 0.332
Ac6 0.166 0.414 0.332
La1 0.666 0.166 0.332
La2 0.334 0.334 0.668
La3 0.000 0.500 0.000
La4 0.666 0.666 0.332
La5 0.334 0.834 0.668
Dy1 0.000 0.000 0.000

Summary:
- formation energy from the elements (eV per formula unit) = 0.3

=====

# 8
Below is Cs4Ca3H10 after structural relaxation, with properties calculated at the PBE level.

abc: 4.593 4.593 17.237
angles: 97.66 97.66 90.00
Fractional coordinates of all 17 atoms:
Cs1 0.568 0.568 0.136
Cs2 0.432 0.432 0.864
Cs3 0.297 0.297 0.593
Cs4 0.703 0.703 0.407
Ca1 0.136 0.136 0.273
Ca2 0.864 0.864 0.727
Ca3 0.000 0.000 0.000
H1 0.136 0.636 0.273
H2 0.068 0.068 0.136
H3 0.636 0.136 0.273
H4 0.864 0.364 0.727
H5 0.364 0.864 0.727
H6 0.932 0.932 0.864
H7 0.204 0.204 0.408
H8 0.796 0.796 0.592
H9 0.000 0.500 0.000
H10 0.500 0.000 0.000

=====

Values for raw total energy, eV per atom, ordered as above
-6.88, -3.02, -3.38, -9.59, -5.90, -2.59, -4.47, -2.91